# NaReSiPd2

A relaxed NaReSiPd2 crystal (GGA-PBE, Alexandria).

## Properties
Formation energy without anion corrections in meV/atom: 1738

```
5
Lattice="4.404 0.000 0.000 0.000 4.633 0.000 0.000 0.000 4.404" Properties=species:S:1:pos:R:3 pbc="T T T"
Re 2.202 2.317 2.202
Si 0.000 2.317 0.000
Pd 0.000 0.000 2.202
Pd 2.202 0.000 0.000
Na 0.000 0.000 0.000
```

# NaTi2RePd

A relaxed NaTi2RePd crystal (GGA-PBE, Alexandria).

## Properties
Formation energy in eV per atom: 0.959

```
5
Lattice="-1.905 3.823 -1.856 -4.778 -1.782 1.233 0.268 2.138 4.129" Properties=species:S:1:pos:R:3 pbc="T T T"
Re 0.000 0.000 0.000
Na -2.389 -0.891 0.616
Pd -3.208 2.090 1.753
Ti 0.134 1.069 2.065
Ti -0.952 1.912 -0.928
```

# NaRePd2W

A relaxed NaRePd2W crystal (GGA-PBE, Alexandria).

## Properties
Formation energy in eV per atom: 1.226

```
5
Lattice="-3.030 -0.776 3.837 3.184 -2.842 1.940 2.005 3.860 2.364" Properties=species:S:1:pos:R:3 pbc="T T T"
Re 1.592 -1.421 0.970
Pd 1.003 1.930 1.182
Pd -1.515 -0.388 1.919
W 0.000 0.000 0.000
Na 1.080 0.121 4.071
```

DFT total energy readings, ordered: -0.3070 -0.4403 -0.4554 Ry per atom
Magnetization readings, ordered: 2.13 0.00 0.00 μB/cell